A plane-wave DFT calculation with GGA-PBE was carried out for a relaxed BaCu4Mo crystal.

- crystal system = cubic
- density of states at the Fermi level (states/eV/atom) = 0.695
- energy of formation (eV per atom) = 0.5834
- symmetry = F-43m

Lattice parameters (Å, degrees): 5.304 5.304 5.304 60.00 60.00 60.00
Element x y z (fractional)
Ba  0.000  0.000  0.000
Cu  0.134  0.622  0.622
Cu  0.622  0.134  0.622
Cu  0.622  0.622  0.134
Cu  0.622  0.622  0.622
Mo  0.250  0.250  0.250